Record 1
Computed, not measured: a crystal of Zr2PSe relaxed with PBEsol at the meta-GGA SCAN level of DFT.

Calculated values
The crystal system is cubic. The energy above the most stable polymorph in this dataset comes out at 5.48 eV per formula unit. Its symmetry is No. 216.

a = 4.671 Å, b = 4.671 Å, c = 4.671 Å
α = 60.00°, β = 60.00°, γ = 60.00°
Last column: magnetic moment on the atom in μB.
Sites, in units of the cell vectors:
P (0.500, 0.500, 0.500)  -0.10
Se (0.750, 0.750, 0.750)  -0.09
Zr (0.000, 0.000, 0.000)  0.79
Zr (0.250, 0.250, 0.250)  0.74



Record 2
Computed, not measured: a crystal of Ba4MnAu relaxed with PBEsol at the meta-GGA SCAN level of DFT.

Calculated values
The crystal system is cubic. Its symmetry is No. 216. Its formation energy is 0.576 eV/atom.

a = 6.884 Å, b = 6.884 Å, c = 6.884 Å
α = 60.00°, β = 60.00°, γ = 60.00°
Last column: magnetic moment on the atom in μB.
Sites, in units of the cell vectors:
Au (0.000, 0.000, 0.000)  -0.01
Ba (0.374, 0.374, 0.374)  -0.22
Ba (0.374, 0.374, 0.877)  -0.22
Ba (0.877, 0.374, 0.374)  -0.22
Ba (0.374, 0.877, 0.374)  -0.22
Mn (0.750, 0.750, 0.750)  4.53



Record 3
Computed, not measured: a crystal of Y7FeI12 relaxed with PBEsol at the meta-GGA SCAN level of DFT.

Calculated values
The total energy comes out at -2.4999 Ry/atom. The crystal system is trigonal. Its symmetry is No. 148.

a = 9.459 Å, b = 9.459 Å, c = 9.459 Å
α = 107.03°, β = 107.03°, γ = 107.03°
Last column: magnetic moment on the atom in μB.
Sites, in units of the cell vectors:
Y (0.975, 0.905, 0.705)  0.17
Y (0.905, 0.705, 0.975)  0.17
Y (0.500, 0.500, 0.500)  -0.02
Y (0.295, 0.025, 0.095)  0.17
Y (0.025, 0.095, 0.295)  0.17
Y (0.705, 0.975, 0.905)  0.17
Y (0.095, 0.295, 0.025)  0.17
Fe (0.000, 0.000, 0.000)  -0.57
I (0.230, 0.677, 0.073)  0.00
I (0.156, 0.470, 0.389)  0.00
I (0.844, 0.530, 0.611)  0.00
I (0.677, 0.073, 0.230)  0.00
I (0.323, 0.927, 0.770)  0.00
I (0.073, 0.230, 0.677)  0.00
I (0.611, 0.844, 0.530)  0.00
I (0.530, 0.611, 0.844)  0.00
I (0.770, 0.323, 0.927)  0.00
I (0.927, 0.770, 0.323)  0.00
I (0.389, 0.156, 0.470)  0.00
I (0.470, 0.389, 0.156)  0.00



Record 4
Computed, not measured: a crystal of BeAlSe relaxed with PBEsol at the meta-GGA SCAN level of DFT.

Calculated values
The crystal system is cubic. The energy above the most stable polymorph in this dataset comes out at 2.16 eV per formula unit. Its symmetry is No. 216.

a = 4.314 Å, b = 4.314 Å, c = 4.314 Å
α = 60.00°, β = 60.00°, γ = 60.00°
Sites, in units of the cell vectors:
Be (0.500, 0.500, 0.500)
Al (0.000, 0.000, 0.000)
Se (0.250, 0.250, 0.250)



Record 5
Computed, not measured: a crystal of Nd5Sn3 relaxed with PBEsol at the meta-GGA SCAN level of DFT.

Calculated values
The crystal system is hexagonal. Its symmetry is No. 193. Its formation energy is -0.816 eV/atom.

a = 6.703 Å, b = 9.184 Å, c = 9.184 Å
α = 120.00°, β = 90.00°, γ = 90.00°
Sites, in units of the cell vectors:
Nd (0.500, 0.333, 0.667)
Nd (0.000, 0.667, 0.333)
Nd (0.500, 0.667, 0.333)
Nd (0.000, 0.333, 0.667)
Nd (0.250, 0.000, 0.758)
Nd (0.750, 0.758, 0.758)
Nd (0.750, 0.242, 0.000)
Nd (0.250, 0.758, 0.000)
Nd (0.250, 0.242, 0.242)
Nd (0.750, 0.000, 0.242)
Sn (0.250, 0.000, 0.394)
Sn (0.750, 0.394, 0.394)
Sn (0.750, 0.606, 0.000)
Sn (0.250, 0.394, 0.000)
Sn (0.250, 0.606, 0.606)
Sn (0.750, 0.000, 0.606)



Record 6
Computed, not measured: a crystal of LaRh2Pb relaxed with PBEsol at the meta-GGA SCAN level of DFT.

Calculated values
The crystal system is tetragonal. Its symmetry is No. 123. Its formation energy is -0.475 eV/atom.

a = 3.740 Å, b = 4.596 Å, c = 4.596 Å
α = 90.00°, β = 90.00°, γ = 90.00°
Sites, in units of the cell vectors:
Pb (0.500, 0.000, 0.000)
Rh (0.000, 0.000, 0.500)
Rh (0.000, 0.500, 0.000)
La (0.500, 0.500, 0.500)



Record 7
Computed, not measured: a crystal of YAgHg relaxed with PBEsol at the meta-GGA SCAN level of DFT.

Calculated values
The crystal system is tetragonal. Its symmetry is No. 107. Its formation energy is -0.477 eV/atom.

a = 3.757 Å, b = 3.757 Å, c = 5.318 Å
α = 110.68°, β = 110.68°, γ = 90.00°
Sites, in units of the cell vectors:
Y (0.666, 0.666, 0.332)
Hg (0.338, 0.338, 0.676)
Ag (0.996, 0.996, 0.992)



Record 8
Computed, not measured: a crystal of NaSc3I relaxed with PBEsol at the meta-GGA SCAN level of DFT.

Calculated values
The total energy comes out at -1.1991 Ry/atom. The crystal system is cubic. Its symmetry is No. 221.

a = 5.335 Å, b = 5.335 Å, c = 5.335 Å
α = 90.00°, β = 90.00°, γ = 90.00°
Sites, in units of the cell vectors:
I (0.000, 0.000, 0.000)
Sc (0.000, 0.500, 0.000)
Sc (0.000, 0.000, 0.500)
Sc (0.500, 0.000, 0.000)
Na (0.500, 0.500, 0.500)



Record 9
Computed, not measured: a crystal of SbPbSI2 relaxed with PBEsol at the meta-GGA SCAN level of DFT.

Calculated values
The total energy comes out at -2.8571 Ry/atom. The crystal system is tetragonal. Its symmetry is No. 123.

a = 5.364 Å, b = 5.362 Å, c = 5.362 Å
α = 90.00°, β = 90.00°, γ = 90.00°
Sites, in units of the cell vectors:
Pb (0.500, 0.500, 0.500)
I (0.000, 0.000, 0.500)
I (0.000, 0.500, 0.000)
S (0.000, 0.000, 0.000)
Sb (0.500, 0.000, 0.000)



Record 10
Computed, not measured: a crystal of BaY2W relaxed with PBEsol at the meta-GGA SCAN level of DFT.

Calculated values
The crystal system is tetragonal. Its symmetry is No. 119. Its formation energy is 1.025 eV/atom.

a = 4.757 Å, b = 4.757 Å, c = 5.779 Å
α = 114.30°, β = 114.30°, γ = 90.00°
Sites, in units of the cell vectors:
Ba (0.500, 0.500, 0.000)
W (0.250, 0.750, 0.500)
Y (0.000, 0.000, 0.000)
Y (0.750, 0.250, 0.500)



Record 11
Computed, not measured: a crystal of MnHgN2F relaxed with PBEsol at the meta-GGA SCAN level of DFT.

Calculated values
The total energy comes out at -1.5833 Ry/atom. The crystal system is tetragonal. Its symmetry is No. 123.

a = 3.671 Å, b = 3.671 Å, c = 4.051 Å
α = 90.00°, β = 90.00°, γ = 90.00°
Sites, in units of the cell vectors:
N (0.000, 0.500, 0.000)
N (0.500, 0.000, 0.000)
Mn (0.000, 0.000, 0.000)
Hg (0.500, 0.500, 0.500)
F (0.000, 0.000, 0.500)



Record 12
Computed, not measured: a crystal of Na2CuH20C12N12O18 relaxed with PBEsol at the meta-GGA SCAN level of DFT.

Calculated values
The total energy comes out at -0.5578 Ry/atom. The crystal system is triclinic. Its symmetry is No. 2.

a = 6.775 Å, b = 10.345 Å, c = 10.295 Å
α = 62.25°, β = 83.59°, γ = 71.37°
Last column: magnetic moment on the atom in μB.
Sites, in units of the cell vectors:
Na (0.241, 0.468, 0.596)  0.00
Na (0.759, 0.532, 0.404)  0.00
Cu (0.000, 0.000, 0.000)  0.70
H (0.876, 0.863, 0.624)  0.00
H (0.124, 0.137, 0.376)  0.00
H (0.236, 0.501, 0.989)  0.00
H (0.764, 0.499, 0.011)  0.00
H (0.300, 0.887, 0.433)  0.00
H (0.700, 0.113, 0.567)  0.00
H (0.665, 0.527, 0.793)  0.00
H (0.335, 0.473, 0.207)  0.00
H (0.313, 0.104, 0.884)  0.00
H (0.687, 0.896, 0.116)  0.00
H (0.320, 0.965, 0.840)  0.00
H (0.680, 0.035, 0.160)  0.00
H (0.939, 0.307, 0.705)  0.00
H (0.061, 0.693, 0.295)  0.00
H (0.065, 0.230, 0.606)  0.00
H (0.935, 0.770, 0.394)  0.00
H (0.566, 0.182, 0.817)  0.00
H (0.434, 0.818, 0.183)  0.00
H (0.435, 0.258, 0.914)  0.00
H (0.565, 0.742, 0.086)  0.00
C (0.897, 0.913, 0.799)  0.00
C (0.103, 0.087, 0.201)  0.00
C (0.057, 0.668, 0.799)  0.00
C (0.943, 0.332, 0.201)  0.00
C (0.105, 0.707, 0.006)  0.00
C (0.895, 0.293, 0.994)  0.00
C (0.320, 0.937, 0.609)  0.00
C (0.680, 0.063, 0.391)  0.00
C (0.483, 0.694, 0.605)  0.00
C (0.517, 0.306, 0.395)  0.00
C (0.528, 0.732, 0.813)  0.00
C (0.472, 0.268, 0.187)  0.00
N (0.989, 0.855, 0.933)  0.06
N (0.011, 0.145, 0.067)  0.06
N (0.936, 0.819, 0.734)  0.00
N (0.064, 0.181, 0.266)  0.00
N (0.137, 0.616, 0.938)  0.00
N (0.863, 0.384, 0.062)  0.00
N (0.403, 0.878, 0.745)  0.00
N (0.597, 0.122, 0.255)  0.00
N (0.361, 0.844, 0.541)  0.00
N (0.639, 0.156, 0.459)  0.00
N (0.569, 0.643, 0.742)  0.00
N (0.431, 0.357, 0.258)  0.00
O (0.782, 0.049, 0.735)  0.00
O (0.218, 0.951, 0.265)  0.00
O (0.092, 0.586, 0.738)  0.00
O (0.908, 0.414, 0.262)  0.00
O (0.185, 0.653, 0.132)  0.00
O (0.815, 0.347, 0.868)  0.00
O (0.203, 0.073, 0.543)  0.00
O (0.797, 0.927, 0.457)  0.00
O (0.513, 0.611, 0.545)  0.00
O (0.487, 0.389, 0.455)  0.00
O (0.607, 0.674, 0.941)  0.00
O (0.393, 0.326, 0.059)  0.00
O (0.264, 0.011, 0.912)  0.07
O (0.736, 0.989, 0.088)  0.07
O (0.004, 0.329, 0.610)  0.00
O (0.996, 0.671, 0.390)  0.00
O (0.423, 0.238, 0.830)  0.00
O (0.577, 0.762, 0.170)  0.00



Record 13
Computed, not measured: a crystal of TiCd2SiHg relaxed with PBEsol at the meta-GGA SCAN level of DFT.

Calculated values
The total energy comes out at -2.2273 Ry/atom. The crystal system is tetragonal. Its symmetry is No. 123.

a = 4.699 Å, b = 5.406 Å, c = 5.406 Å
α = 90.00°, β = 90.00°, γ = 90.00°
Last column: magnetic moment on the atom in μB.
Sites, in units of the cell vectors:
Si (0.500, 0.000, 0.000)  0.03
Ti (0.000, 0.000, 0.000)  0.86
Hg (0.500, 0.500, 0.500)  0.02
Cd (0.000, 0.000, 0.500)  0.04
Cd (0.000, 0.500, 0.000)  0.04



Record 14
Computed, not measured: a crystal of CaPt2Rh relaxed with PBEsol at the meta-GGA SCAN level of DFT.

Calculated values
The crystal system is cubic. Its symmetry is No. 225. Its formation energy is -0.193 eV/atom.

a = 4.548 Å, b = 4.548 Å, c = 4.548 Å
α = 60.00°, β = 60.00°, γ = 60.00°
Last column: magnetic moment on the atom in μB.
Sites, in units of the cell vectors:
Ca (0.000, 0.000, 0.000)  0.00
Rh (0.500, 0.500, 0.500)  0.65
Pt (0.750, 0.750, 0.750)  0.14
Pt (0.250, 0.250, 0.250)  0.14



Record 15
Computed, not measured: a crystal of ZrTiSi2O relaxed with PBEsol at the meta-GGA SCAN level of DFT.

Calculated values
The total energy comes out at -1.1074 Ry/atom. The crystal system is tetragonal. Its symmetry is No. 123.

a = 3.580 Å, b = 4.916 Å, c = 4.916 Å
α = 90.00°, β = 90.00°, γ = 90.00°
Sites, in units of the cell vectors:
Si (0.000, 0.000, 0.500)
Si (0.000, 0.500, 0.000)
O (0.500, 0.000, 0.000)
Zr (0.500, 0.500, 0.500)
Ti (0.000, 0.000, 0.000)



Record 16
Computed, not measured: a crystal of LiScTe2Br relaxed with PBEsol at the meta-GGA SCAN level of DFT.

Calculated values
The total energy comes out at -1.6390 Ry/atom. The crystal system is tetragonal. Its symmetry is No. 123.

a = 4.773 Å, b = 4.773 Å, c = 5.550 Å
α = 90.00°, β = 90.00°, γ = 90.00°
Last column: magnetic moment on the atom in μB.
Sites, in units of the cell vectors:
Sc (0.000, 0.000, 0.500)  0.60
Te (0.000, 0.500, 0.000)  -0.04
Te (0.500, 0.000, 0.000)  -0.04
Br (0.500, 0.500, 0.500)  -0.01
Li (0.000, 0.000, 0.000)  0.02



Record 17
Computed, not measured: a crystal of LiCd2Hg2 relaxed with PBEsol at the meta-GGA SCAN level of DFT.

Calculated values
The crystal system is tetragonal. The energy above the most stable polymorph in this dataset comes out at 0.48 eV per formula unit. Its symmetry is No. 139. Its formation energy is -0.026 eV/atom.

a = 4.207 Å, b = 4.207 Å, c = 7.415 Å
α = 106.48°, β = 106.48°, γ = 90.00°
Sites, in units of the cell vectors:
Li (0.000, 0.000, 0.000)
Hg (0.250, 0.750, 0.500)
Hg (0.750, 0.250, 0.500)
Cd (0.401, 0.401, 0.802)
Cd (0.599, 0.599, 0.198)



Record 18
Computed, not measured: a crystal of BaPH2 relaxed with PBEsol at the meta-GGA SCAN level of DFT.

Calculated values
The total energy comes out at -1.0480 Ry/atom. The crystal system is tetragonal. Its symmetry is No. 141.

a = 4.582 Å, b = 4.582 Å, c = 6.503 Å
α = 110.63°, β = 110.63°, γ = 90.00°
Sites, in units of the cell vectors:
P (0.500, 0.500, 0.000)
P (0.750, 0.250, 0.500)
Ba (0.000, 0.000, 0.000)
Ba (0.250, 0.750, 0.500)
H (0.625, 0.375, 0.750)
H (0.125, 0.375, 0.750)
H (0.625, 0.875, 0.250)
H (0.625, 0.375, 0.250)



Record 19
Computed, not measured: a crystal of Al2PCl relaxed with PBEsol at the meta-GGA SCAN level of DFT.

Calculated values
The crystal system is orthorhombic. The energy above the most stable polymorph in this dataset comes out at 1.26 eV per formula unit. Its symmetry is No. 65.

a = 3.331 Å, b = 3.331 Å, c = 7.221 Å
α = 90.00°, β = 90.00°, γ = 114.40°
Sites, in units of the cell vectors:
P (0.500, 0.500, 0.000)
Al (0.000, 0.000, 0.219)
Al (0.000, 0.000, 0.781)
Cl (0.500, 0.500, 0.500)



Record 20
Computed, not measured: a crystal of Re2As relaxed with PBEsol at the meta-GGA SCAN level of DFT.

Calculated values
The crystal system is orthorhombic. Its symmetry is No. 71. Its formation energy is 0.360 eV/atom.

a = 2.894 Å, b = 4.010 Å, c = 4.543 Å
α = 116.19°, β = 108.57°, γ = 90.00°
Sites, in units of the cell vectors:
Re (0.327, 0.327, 0.654)
Re (0.673, 0.673, 0.346)
As (0.000, 0.000, 0.000)



Number 1: magnetization 1.93 μB per formula unit. Number 2: magnetization 2.69 μB per formula unit. Number 3: magnetization 1.03 μB per formula unit. Number 4: magnetization 0.00 μB per formula unit. Number 5: magnetization 0.00 μB per formula unit. Number 6: magnetization 0.00 μB per formula unit. Number 7: magnetization 0.00 μB per formula unit. Number 8: magnetization 0.00 μB per formula unit. Number 9: magnetization 0.00 μB per formula unit. Number 10: magnetization 0.00 μB per formula unit. Number 11: magnetization 0.00 μB per formula unit. Number 12: magnetization 1.00 μB per formula unit. Number 13: magnetization 1.29 μB per formula unit. Number 14: magnetization 0.89 μB per formula unit. Number 15: magnetization 0.00 μB per formula unit. Number 16: magnetization 0.73 μB per formula unit. Number 17: magnetization 0.00 μB per formula unit. Number 18: magnetization 0.00 μB per formula unit. Number 19: magnetization 0.00 μB per formula unit. Number 20: magnetization 0.00 μB per formula unit.